Record 1
Material: HfMo6W12
Method: DFT, PBE-GGA
State: relaxed Values from VASP.

Summary:
**Symmetry**: No. 166
**Final energy**: -211.0 eV per cell
**Formation enthalpy at 0 K**: 19.3 eV/f.u.

Geometry as Quantum ESPRESSO input:
```
&SYSTEM
  ibrav = 0, nat = 19, ntyp = 3
/
ATOMIC_SPECIES
Hf 178.49 Hf.upf
Mo 95.94 Mo.upf
W 183.84 W.upf
CELL_PARAMETERS angstrom
-3.396 -2.746 5.746
4.368 -5.564 -1.431
4.727 4.219 3.457
ATOMIC_POSITIONS crystal
Hf 0.000 0.000 0.000
Mo 0.805 0.285 0.805
Mo 0.805 0.805 0.285
Mo 0.285 0.805 0.805
Mo 0.195 0.195 0.715
Mo 0.195 0.715 0.195
Mo 0.715 0.195 0.195
W 0.871 0.129 0.500
W 0.472 0.163 0.472
W 0.472 0.472 0.163
W 0.837 0.528 0.528
W 0.528 0.528 0.837
W 0.528 0.837 0.528
W 0.500 0.871 0.129
W 0.129 0.500 0.871
W 0.129 0.871 0.500
W 0.500 0.129 0.871
W 0.871 0.500 0.129
W 0.163 0.472 0.472
```

Record 2
Material: HfMoW
Method: DFT, PBE-GGA
State: relaxed Values from VASP.

Summary:
**Symmetry**: No. 69
**Polymorph energy (0 for the lowest one)**: 0.544 eV/atom
**Final energy**: -65.3 eV per cell
**Formation enthalpy at 0 K**: 1.1 eV/f.u.

Geometry as Quantum ESPRESSO input:
```
&SYSTEM
  ibrav = 0, nat = 6, ntyp = 3
/
ATOMIC_SPECIES
Hf 178.49 Hf.upf
Mo 95.94 Mo.upf
W 183.84 W.upf
CELL_PARAMETERS angstrom
5.160 0.089 0.000
-2.393 4.572 0.000
-1.383 -2.331 4.736
ATOMIC_POSITIONS crystal
Hf 0.669 0.331 0.000
Hf 0.331 0.669 0.000
Mo 0.849 0.849 0.698
Mo 0.151 0.151 0.302
W 0.750 0.250 0.500
W 0.250 0.750 0.500
```

Record 3
Material: HfMo2W2
Method: DFT, PBE-GGA
State: relaxed Values from VASP.

Summary:
**Symmetry**: No. 127
**Polymorph energy (0 for the lowest one)**: 0.514 eV/atom
**Final energy**: -110.8 eV per cell
**Formation enthalpy at 0 K**: 2.1 eV/f.u.

Geometry as Quantum ESPRESSO input:
```
&SYSTEM
  ibrav = 0, nat = 10, ntyp = 3
/
ATOMIC_SPECIES
Mo 95.94 Mo.upf
Hf 178.49 Hf.upf
W 183.84 W.upf
CELL_PARAMETERS angstrom
7.707 0.000 0.000
0.000 7.707 0.000
0.000 0.000 2.981
ATOMIC_POSITIONS crystal
Mo 0.153 0.653 0.500
Mo 0.653 0.847 0.500
Mo 0.847 0.347 0.500
Mo 0.347 0.153 0.500
Hf 0.000 0.000 0.000
Hf 0.500 0.500 0.000
W 0.355 0.855 0.000
W 0.855 0.645 0.000
W 0.645 0.145 0.000
W 0.145 0.355 0.000
```

Record 4
Material: HfMo2W
Method: DFT, PBE-GGA
State: relaxed Values from VASP.

Summary:
**Symmetry**: No. 225
**Polymorph energy (0 for the lowest one)**: 0.004 eV/atom
**Final energy**: -44.9 eV per cell
**Formation enthalpy at 0 K**: -0.3 eV/f.u.

Geometry as Quantum ESPRESSO input:
```
&SYSTEM
  ibrav = 0, nat = 4, ntyp = 3
/
ATOMIC_SPECIES
Mo 95.94 Mo.upf
Hf 178.49 Hf.upf
W 183.84 W.upf
CELL_PARAMETERS angstrom
-3.310 -1.479 2.782
-4.384 0.599 -1.144
-2.559 -3.591 -1.201
ATOMIC_POSITIONS crystal
Mo 0.250 0.250 0.250
Mo 0.750 0.750 0.750
Hf 0.000 0.000 0.000
W 0.500 0.500 0.500
```

Record 5
Material: Hf3MoW
Method: DFT, PBE-GGA
State: relaxed Values from VASP.

Summary:
**Symmetry**: No. 221
**Polymorph energy (0 for the lowest one)**: 0.000 eV/atom
**Final energy**: -46.9 eV per cell
**Formation enthalpy at 0 K**: 6.8 eV/f.u.

Geometry as Quantum ESPRESSO input:
```
&SYSTEM
  ibrav = 0, nat = 5, ntyp = 3
/
ATOMIC_SPECIES
Mo 95.94 Mo.upf
Hf 178.49 Hf.upf
W 183.84 W.upf
CELL_PARAMETERS angstrom
4.985 0.000 0.000
0.000 4.985 0.000
0.000 0.000 4.985
ATOMIC_POSITIONS crystal
Mo 0.500 0.500 0.500
Hf 0.000 0.500 0.000
Hf 0.000 0.000 0.500
Hf 0.500 0.000 0.000
W 0.000 0.000 0.000
```

Record 6
Material: HfMoW
Method: DFT, PBE-GGA
State: relaxed Values from VASP.

Summary:
**Symmetry**: No. 74
**Polymorph energy (0 for the lowest one)**: 0.000 eV/atom
**Final energy**: -68.5 eV per cell
**Formation enthalpy at 0 K**: -0.5 eV/f.u.

Geometry as Quantum ESPRESSO input:
```
&SYSTEM
  ibrav = 0, nat = 6, ntyp = 3
/
ATOMIC_SPECIES
Hf 178.49 Hf.upf
Mo 95.94 Mo.upf
W 183.84 W.upf
CELL_PARAMETERS angstrom
-1.387 2.213 -4.694
4.401 -3.065 0.302
-2.922 -3.997 2.083
ATOMIC_POSITIONS crystal
Hf 0.250 0.125 0.875
Hf 0.750 0.875 0.125
Mo 0.500 0.500 0.500
Mo 0.000 0.500 0.000
W 0.000 0.500 0.500
W 0.500 0.000 0.500
```

Record 7
Material: HfMo4W
Method: DFT, PBE-GGA
State: relaxed Values from VASP.

Summary:
**Symmetry**: No. 216
**Polymorph energy (0 for the lowest one)**: 0.189 eV/atom
**Final energy**: -65.6 eV per cell
**Formation enthalpy at 0 K**: 0.6 eV/f.u.

Geometry as Quantum ESPRESSO input:
```
&SYSTEM
  ibrav = 0, nat = 6, ntyp = 3
/
ATOMIC_SPECIES
Mo 95.94 Mo.upf
Hf 178.49 Hf.upf
W 183.84 W.upf
CELL_PARAMETERS angstrom
-0.402 -0.555 5.229
1.978 -4.283 2.356
4.295 0.406 3.032
ATOMIC_POSITIONS crystal
Mo 0.625 0.625 0.126
Mo 0.625 0.126 0.625
Mo 0.625 0.625 0.625
Mo 0.126 0.625 0.625
Hf 0.000 0.000 0.000
W 0.250 0.250 0.250
```

Record 8
Material: YHf2MoW
Method: DFT, PBE-GGA
State: relaxed Values from VASP.

Summary:
**Symmetry**: No. 123
**Final energy**: -38.2 eV per cell
**Formation enthalpy at 0 K**: 11.9 eV/f.u.

Geometry as Quantum ESPRESSO input:
```
&SYSTEM
  ibrav = 0, nat = 5, ntyp = 4
/
ATOMIC_SPECIES
Y 88.91 Y.upf
Mo 95.94 Mo.upf
Hf 178.49 Hf.upf
W 183.84 W.upf
CELL_PARAMETERS angstrom
5.014 0.000 0.000
0.000 4.722 0.000
0.000 0.000 5.014
ATOMIC_POSITIONS crystal
Y 0.000 0.000 0.000
Mo 0.500 0.500 0.500
Hf 0.000 0.000 0.500
Hf 0.500 0.000 0.000
W 0.000 0.500 0.000
```